## Nb4NO3 (PBE)

Data for a relaxed Nb4NO3 crystal.

Geometry as POSCAR:
```
Nb4NO3
1.0
4.732 0.000 0.000
0.085 4.986 0.000
0.117 1.161 5.017
Nb N O
4 1 3
direct
0.000 0.000 0.000
0.051 0.407 0.397
0.530 0.950 0.419
0.629 0.484 0.047
0.308 0.724 0.220
0.253 0.079 0.660
0.744 0.844 0.768
0.826 0.355 0.749
```

Values from the calculation:
Fermi-level density of states	3.64	states/eV/f.u.
crystal system	triclinic
E_form (uncorrected)	-1.33	eV/atom

## Cd3H2Pt9 (PBE)

Data for a relaxed Cd3H2Pt9 crystal.

Geometry as POSCAR:
```
Cd3H2Pt9
1.0
5.789 0.000 0.000
-2.895 5.013 0.000
0.000 0.000 14.157
Cd H Pt
6 4 18
direct
0.000 0.000 0.250
0.000 0.000 0.750
0.333 0.667 0.085
0.333 0.667 0.415
0.667 0.333 0.585
0.667 0.333 0.915
0.333 0.667 0.623
0.333 0.667 0.877
0.667 0.333 0.123
0.667 0.333 0.377
0.003 0.502 0.750
0.162 0.323 0.582
0.162 0.323 0.918
0.162 0.838 0.582
0.162 0.838 0.918
0.323 0.162 0.082
0.323 0.162 0.418
0.498 0.502 0.750
0.498 0.997 0.750
0.502 0.003 0.250
0.502 0.498 0.250
0.677 0.838 0.582
0.677 0.838 0.918
0.838 0.162 0.082
0.838 0.162 0.418
0.838 0.677 0.082
0.838 0.677 0.418
0.997 0.498 0.250
```

Values from the calculation:
Fermi-level density of states	13.35	states/eV/f.u.
total DFT energy (no corrections)	-131.76	eV per cell
crystal system	hexagonal

## PmScPSe (PBE)

Data for a relaxed PmScPSe crystal.

Geometry as POSCAR:
```
PmScPSe
1.0
1.956 1.129 6.851
-1.956 1.129 6.851
0.000 -2.259 6.851
Pm Sc P Se
1 1 1 1
direct
0.000 0.000 0.000
0.816 0.816 0.816
0.417 0.417 0.417
0.234 0.234 0.234
```

Values from the calculation:
Fermi-level density of states	2.76	states/eV/f.u.
crystal system	trigonal
E_form (uncorrected)	-1.65	eV/atom

## Ca2ReP4 (PBE)

Data for a relaxed Ca2ReP4 crystal.

Geometry as POSCAR:
```
Ca2ReP4
1.0
-2.270 2.270 7.643
2.270 -2.270 7.643
2.270 2.270 -7.643
Ca Re P
2 1 4
direct
0.153 0.153 0.000
0.847 0.847 0.000
0.500 0.500 0.000
0.000 0.500 0.500
0.335 0.335 0.000
0.500 0.000 0.500
0.665 0.665 0.000
```

Values from the calculation:
Fermi-level density of states	6.53	states/eV/f.u.
ΔE_f	-234	meV per atom
crystal system	tetragonal

## AcTeS3 (PBE)

Data for a relaxed AcTeS3 crystal.

Geometry as POSCAR:
```
AcTeS3
1.0
7.475 0.000 0.000
0.000 8.000 0.000
-6.092 0.000 9.518
Ac Te S
4 4 12
direct
0.201 0.125 0.240
0.201 0.375 0.740
0.799 0.625 0.260
0.799 0.875 0.760
0.180 0.618 0.110
0.180 0.882 0.610
0.820 0.118 0.390
0.820 0.382 0.890
0.104 0.161 0.939
0.104 0.339 0.439
0.246 0.683 0.930
0.246 0.817 0.430
0.489 0.116 0.742
0.489 0.384 0.242
0.511 0.616 0.758
0.511 0.884 0.258
0.754 0.183 0.570
0.754 0.317 0.070
0.896 0.661 0.561
0.896 0.839 0.061
```

Values from the calculation:
energy above the most stable polymorph in this dataset	0.0000	eV per atom
crystal system	monoclinic
E_form (uncorrected)	-0.95	eV/atom

## Pr2DyEr3Se6 (PBE)

Data for a relaxed Pr2DyEr3Se6 crystal.

Geometry as POSCAR:
```
Pr2DyEr3Se6
1.0
9.031 -2.038 0.000
9.031 2.038 0.000
-2.125 0.000 8.073
Pr Dy Er Se
2 1 3 6
direct
0.168 0.168 0.336
0.832 0.832 0.664
0.500 0.500 0.000
0.170 0.170 0.834
0.500 0.500 0.500
0.830 0.830 0.166
0.005 0.005 0.750
0.334 0.334 0.931
0.339 0.339 0.405
0.661 0.661 0.595
0.666 0.666 0.069
0.995 0.995 0.250
```

Values from the calculation:
Fermi-level density of states	5.16	states/eV/f.u.
crystal system	monoclinic
E_form (uncorrected)	-1.76	eV/atom

## AlSbTe2 (PBE)

Data for a relaxed AlSbTe2 crystal.

Geometry as POSCAR:
```
AlSbTe2
1.0
4.357 0.000 0.000
0.000 4.357 0.000
0.000 0.000 6.142
Al Sb Te
1 1 2
direct
0.000 0.000 0.000
0.500 0.500 0.500
0.000 0.000 0.500
0.500 0.500 0.000
```

Values from the calculation:
energy above the most stable polymorph in this dataset	0.0389	eV per atom
Fermi-level density of states	1.94	states/eV/f.u.
crystal system	tetragonal
E_form (uncorrected)	-0.05	eV/atom

## CdIn2Pb5 (PBE)

Data for a relaxed CdIn2Pb5 crystal.

Geometry as POSCAR:
```
CdIn2Pb5
1.0
5.141 -4.495 0.000
5.141 4.495 0.000
-5.111 0.000 5.144
Cd In Pb
1 2 5
direct
0.000 0.000 0.000
0.500 0.500 0.001
0.999 0.999 0.500
0.001 0.499 0.500
0.001 0.500 0.001
0.499 0.001 0.500
0.500 0.001 0.001
0.502 0.502 0.502
```

Values from the calculation:
energy above the most stable polymorph in this dataset	0.0082	eV per atom
Fermi-level density of states	2.79	states/eV/f.u.
ΔE_f	31	meV per atom
crystal system	monoclinic